1.
A relaxed SiPPt2 crystal. Source: the Alexandria database, functional GGA-PBE.

Geometry as POSCAR:
```
SiPPt2
1.0
7.227 0.032 0.019
6.482 3.196 0.019
6.482 1.526 2.808
P Pt Si
1 2 1
Direct
0.746 0.746 0.746
0.013 0.013 0.013
0.238 0.238 0.238
0.502 0.502 0.502
```

The formation energy from raw total energies is -305 meV per atom. The calculated volume is 63.9 Å³/f.u.



2.
A relaxed Si2PPt crystal. Source: the Alexandria database, functional GGA-PBE.

Geometry as POSCAR:
```
Si2PPt
1.0
4.551 -0.041 0.000
0.799 4.481 0.000
-2.675 -2.220 2.938
P Pt Si
1 1 2
Direct
0.500 0.500 0.000
0.750 0.250 0.500
0.000 0.000 0.000
0.250 0.750 0.500
```

The formation energy from raw total energies is 281 meV per atom. The calculated volume is 60.0 Å³/f.u.



3.
A relaxed SiP4Pt crystal. Source: the Alexandria database, functional GGA-PBE.

Geometry as POSCAR:
```
SiP4Pt
1.0
-3.046 -1.278 3.838
-4.843 -1.180 -0.895
-1.573 -4.787 0.498
Si P Pt
1 4 1
Direct
0.000 0.000 0.000
0.877 0.374 0.374
0.374 0.374 0.877
0.374 0.877 0.374
0.374 0.374 0.374
0.750 0.750 0.750
```

The formation energy from raw total energies is 776 meV per atom. The calculated volume is 91.8 Å³/f.u.



4.
A relaxed SiP2Pt crystal. Source: the Alexandria database, functional GGA-PBE.

Geometry as POSCAR:
```
SiP2Pt
1.0
-2.098 0.354 5.049
2.913 -1.784 4.284
-0.748 3.409 -4.224
P Pt Si
2 1 1
Direct
0.028 0.028 0.000
0.721 0.221 0.500
0.493 0.493 0.000
0.258 0.758 0.500
```

The polymorph energy (0 for the lowest one) is 0.562 eV per atom. The formation energy from raw total energies is 278 meV per atom. The calculated volume is 61.4 Å³/f.u.



The highest calculated volume belongs to which entry? SiP4Pt